1.
Computed, not measured: a geometry-optimized Cs2KBiH structure at the PBE level of DFT.

Summary:
Electronic total energy = -2.214 eV/atom

Cell: 6.199 6.199 5.364 Å, 90.00 90.00 90.00°
Space group P4/mmm (No. 123)
Asymmetric unit:
Cs1 0.000 0.500 0.000
K1 0.000 0.000 0.500
Bi1 0.500 0.500 0.500
H1 0.000 0.000 0.000

---

2.
Computed, not measured: a geometry-optimized CaCrCu2Ge structure at the PBE level of DFT.

Summary:
E_form = 30 kJ/mol of atoms

Cell: 4.697 4.697 4.613 Å, 90.00 90.00 90.00°
Space group P4/mmm (No. 123)
Asymmetric unit:
Ca1 0.000 0.000 0.000
Cr1 0.500 0.500 0.500
Cu1 0.000 0.500 0.500
Ge1 0.500 0.500 0.000

---

3.
Computed, not measured: a geometry-optimized NdZn2TcH6 structure at the PBE level of DFT.

Summary:
Electronic total energy = -3.839 eV/atom

Cell: 4.553 5.934 8.559 Å, 90.00 122.10 90.00°
Space group P2_1/c (No. 14)
Asymmetric unit:
Nd1 0.000 0.000 0.000
Zn1 0.227 0.031 0.712
Tc1 0.500 0.000 0.500
H1 0.144 0.132 0.302
H2 0.199 0.646 0.026
H3 0.461 0.715 0.404

---

4.
Computed, not measured: a geometry-optimized SrZrO2 structure at the PBE level of DFT.

Summary:
Energy relative to the elements, uncorrected = -9.57 eV per formula unit
Relative energy among the computed polymorphs = 0 meV per atom

Cell: 3.6272 3.6272 19.9616 Å, 90.00 90.00 120.00°
Space group R-3m (No. 166, hexagonal axes)
Asymmetric unit:
Sr1 0.0000 0.0000 0.0000
Zr1 0.0000 0.0000 0.5000
O1 0.0000 0.0000 0.4002

---

5.
Computed, not measured: a geometry-optimized Cs2Pr2UTe6 structure at the PBE level of DFT.

Summary:
Energy relative to the elements, uncorrected = -13.24 eV per formula unit

Cell: 7.954 13.686 9.560 Å, 90.00 106.53 90.00°
Space group C2/m (No. 12)
Asymmetric unit:
Cs1 0.000 0.170 0.000
Pr1 0.000 0.333 0.500
U1 0.000 0.000 0.500
Te1 0.227 0.160 0.692
Te2 0.245 0.500 0.690

---

6.
Computed, not measured: a geometry-optimized RbNb2CoSn structure at the PBE level of DFT.

Summary:
E_form = 94 kJ/mol of atoms

Cell: 4.889 4.889 4.971 Å, 90.00 90.00 90.00°
Space group P4/mmm (No. 123)
Asymmetric unit:
Rb1 0.000 0.000 0.000
Nb1 0.000 0.500 0.500
Co1 0.500 0.500 0.500
Sn1 0.500 0.500 0.000

---

7.
Computed, not measured: a geometry-optimized LiAl6Pt3 structure at the PBE level of DFT.

Summary:
E_form = -82 kJ/mol of atoms

Cell: 7.409 4.261 10.036 Å, 90.00 98.51 90.00°
Space group P2_1/m (No. 11)
Asymmetric unit:
Li1 0.050 0.250 0.305
Al1 0.112 0.250 0.590
Al2 0.112 0.750 0.984
Al3 0.229 0.750 0.248
Al4 0.307 0.750 0.756
Al5 0.408 0.250 0.413
Al6 0.478 0.250 0.911
Pt1 0.135 0.250 0.848
Pt2 0.246 0.750 0.499
Pt3 0.355 0.250 0.142

---

8.
Computed, not measured: a geometry-optimized Os2RhCl structure at the PBE level of DFT.

Summary:
Energy relative to the elements, uncorrected = 3.82 eV per formula unit
Relative energy among the computed polymorphs = 519 meV per atom

Cell: 2.809 4.434 9.373 Å, 90.00 90.00 90.00°
Space group Immm (No. 71)
Asymmetric unit:
Os1 0.000 0.000 0.221
Rh1 0.000 0.500 0.000
Cl1 0.000 0.500 0.500

---

9.
Computed, not measured: a geometry-optimized LaSc3Co structure at the PBE level of DFT.

Summary:
Relative energy among the computed polymorphs = 0 meV per atom
E_form = -12 kJ/mol of atoms

Cell: 4.984 4.984 4.984 Å, 90.00 90.00 90.00°
Space group Pm-3m (No. 221)
Asymmetric unit:
La1 0.000 0.000 0.000
Sc1 0.000 0.500 0.500
Co1 0.500 0.500 0.500

---

10.
Computed, not measured: a geometry-optimized CoIr2Os structure at the PBE level of DFT.

Summary:
Relative energy among the computed polymorphs = 394 meV per atom
E_form = 40 kJ/mol of atoms

Cell: 4.585 4.585 2.696 Å, 90.00 90.00 90.00°
Space group P4/mmm (No. 123)
Asymmetric unit:
Co1 0.000 0.000 0.000
Ir1 0.000 0.500 0.500
Os1 0.500 0.500 0.000

---

11.
Computed, not measured: a geometry-optimized ReIr2Ru2 structure at the PBE level of DFT.

Summary:
Relative energy among the computed polymorphs = 441 meV per atom
E_form = 37 kJ/mol of atoms

Cell: 4.081 5.563 6.718 Å, 90.00 90.00 90.00°
Space group Immm (No. 71)
Asymmetric unit:
Re1 0.000 0.000 0.000
Ir1 0.000 0.500 0.191
Ru1 0.000 0.216 0.500

---

12.
Computed, not measured: a geometry-optimized TcP2Ru structure at the PBE level of DFT.

Summary:
Relative energy among the computed polymorphs = 134 meV per atom
E_form = -24 kJ/mol of atoms

Cell: 7.474 2.908 5.051 Å, 90.00 103.14 90.00°
Space group C2/m (No. 12)
Asymmetric unit:
Tc1 0.000 0.000 0.000
P1 0.250 0.000 0.755
Ru1 0.000 0.500 0.500

---

no.,DOS(E_F) (states/eV/f.u.)
1,4.4
2,3.6
3,1.8
4,0.0
5,7.4
6,7.7
7,3.1
8,4.7
9,5.4
10,6.4
11,3.2
12,2.7